NiHPd: relaxed, PBE.

Unit cell a=2.735 b=2.735 c=4.583 alpha=89.99 beta=90.01 gamma=120.01
Fractional coordinates of all 3 atoms:
Ni: 0.400 0.436 0.606
Pd: 0.067 0.770 0.081
H: 0.067 0.770 0.479

Values from the calculation:
Calculated total energy ... -14.30 eV for the cell shown
Crystal system ... trigonal
Spin magnetization ... 0.000 μB per formula unit
Symmetry ... P3m1, No. 156

---

MgNb2N3: relaxed, PBE.

Unit cell a=3.008 b=6.261 c=7.722 alpha=110.34 beta=90.00 gamma=103.90
Fractional coordinates of all 12 atoms:
Nb: 0.330 0.661 0.154
Mg: 0.000 0.000 0.500
Nb: 0.832 0.664 0.653
Mg: 0.500 0.000 0.000
Nb: 0.168 0.336 0.347
N: 0.693 0.386 0.146
N: 0.972 0.944 0.197
Nb: 0.670 0.339 0.846
N: 0.028 0.056 0.803
N: 0.639 0.279 0.535
N: 0.361 0.721 0.465
N: 0.307 0.614 0.854

Values from the calculation:
Crystal system ... monoclinic
E_form (uncorrected) ... -0.8519 eV per atom
Spin magnetization ... 0.000 μB per formula unit
Symmetry ... C2/m, No. 12

---

Hf2TlCrSn: relaxed, PBE.

Unit cell a=4.815 b=5.133 c=4.815 alpha=90.00 beta=90.00 gamma=90.00
Fractional coordinates of all 5 atoms:
Sn: 0.500 0.500 0.500
Cr: 0.000 0.000 0.000
Tl: 0.000 0.500 0.000
Hf: 0.000 0.000 0.500
Hf: 0.500 0.000 0.000

Values from the calculation:
Energy of formation ... 2.9 eV per formula unit
Crystal system ... tetragonal
Spin magnetization ... 0.953 μB per formula unit
Symmetry ... P4/mmm, No. 123

---

SrSnOs3: relaxed, PBE.

Unit cell a=4.949 b=4.949 c=4.949 alpha=90.00 beta=90.00 gamma=90.00
Fractional coordinates of all 5 atoms:
Os: 0.500 0.000 0.000
Sn: 0.000 0.000 0.000
Os: 0.000 0.500 0.000
Os: 0.000 0.000 0.500
Sr: 0.500 0.500 0.500

Values from the calculation:
Energy of formation ... 9.4 eV per formula unit
Crystal system ... cubic
Energy above the most stable polymorph in this dataset ... 0.000 eV/atom
Spin magnetization ... 1.957 μB per formula unit
Symmetry ... Pm-3m, No. 221

---

Ba2CaBiO5: relaxed, PBE.

Unit cell a=3.831 b=7.596 c=11.627 alpha=90.00 beta=90.00 gamma=104.61
Fractional coordinates of all 18 atoms:
O: 0.721 0.443 0.150
Bi: 0.468 0.936 0.461
Ba: 0.851 0.701 0.788
Ba: 0.109 0.218 0.689
O: 0.491 0.982 0.786
O: 0.057 0.113 0.046
O: 0.619 0.238 0.503
Ba: 0.891 0.782 0.189
O: 0.323 0.645 0.387
O: 0.677 0.355 0.887
Ba: 0.149 0.299 0.288
Ca: 0.222 0.444 0.015
O: 0.509 0.018 0.286
O: 0.279 0.557 0.650
Ca: 0.778 0.556 0.515
O: 0.381 0.762 0.003
O: 0.943 0.887 0.546
Bi: 0.532 0.064 0.961

Values from the calculation:
Crystal system ... orthorhombic
E_form (uncorrected) ... -2.1353 eV per atom
Spin magnetization ... 0.000 μB per formula unit
Symmetry ... Cmc2_1, No. 36

---

ScCrS2: relaxed, PBE.

Unit cell a=7.803 b=7.803 c=7.803 alpha=27.94 beta=27.94 gamma=27.94
Fractional coordinates of all 4 atoms:
S: 0.104 0.104 0.104
S: 0.896 0.896 0.896
Sc: 0.500 0.500 0.500
Cr: 0.000 0.000 0.000

Values from the calculation:
Crystal system ... trigonal
Energy above the most stable polymorph in this dataset ... 0.042 eV/atom
E_form (uncorrected) ... -0.9609 eV per atom
Spin magnetization ... 4.978 μB per formula unit
Symmetry ... R-3m, No. 166

---

TmTeF6: relaxed, PBE.

Unit cell a=3.845 b=6.308 c=5.846 alpha=77.25 beta=65.91 gamma=73.76
Fractional coordinates of all 8 atoms:
F: 0.964 0.661 0.295
F: 0.275 0.704 0.790
F: 0.627 0.036 0.774
Tm: 0.000 0.000 0.000
F: 0.373 0.964 0.226
F: 0.036 0.339 0.705
F: 0.725 0.296 0.210
Te: 0.500 0.500 0.500

Values from the calculation:
Crystal system ... triclinic
E_form (uncorrected) ... -2.8561 eV per atom
Spin magnetization ... 0.021 μB per formula unit
Symmetry ... P-1, No. 2

---

Pm2EuCo: relaxed, PBE.

Unit cell a=3.965 b=3.965 c=9.741 alpha=78.26 beta=78.26 gamma=60.00
Fractional coordinates of all 4 atoms:
Eu: 0.500 0.500 0.500
Pm: 0.719 0.719 0.844
Co: 0.000 0.000 0.000
Pm: 0.281 0.281 0.156

Values from the calculation:
Energy of formation ... 0.0 eV per formula unit
Crystal system ... trigonal
Energy above the most stable polymorph in this dataset ... 0.000 eV/atom
Spin magnetization ... 7.632 μB per formula unit
Symmetry ... R-3m, No. 166

---

SmCd11Ga: relaxed, PBE.

Unit cell a=5.897 b=7.593 c=7.670 alpha=81.59 beta=67.39 gamma=67.63
Fractional coordinates of all 13 atoms:
Cd: 0.006 0.646 0.350
Ga: 0.500 0.500 0.000
Cd: 0.355 0.646 0.650
Cd: 0.000 0.500 0.000
Cd: 0.500 0.000 0.500
Sm: 0.000 0.000 0.000
Cd: 0.645 0.354 0.350
Cd: 0.500 0.213 0.790
Cd: 0.994 0.354 0.650
Cd: 0.711 0.787 0.790
Cd: 0.500 0.787 0.210
Cd: 0.289 0.213 0.210
Cd: 0.000 0.000 0.500

Values from the calculation:
Energy of formation ... -1.1 eV per formula unit
Crystal system ... monoclinic
Spin magnetization ... 0.000 μB per formula unit
Symmetry ... C2/m, No. 12

---

MoCI3: relaxed, PBE.

Unit cell a=5.595 b=5.595 c=5.595 alpha=90.00 beta=90.00 gamma=90.00
Fractional coordinates of all 5 atoms:
I: 0.500 0.000 0.000
I: 0.000 0.000 0.500
Mo: 0.000 0.000 0.000
I: 0.000 0.500 0.000
C: 0.500 0.500 0.500

Values from the calculation:
Crystal system ... cubic
Energy above the most stable polymorph in this dataset ... 0.000 eV/atom
E_form (uncorrected) ... 1.6456 eV per atom
Spin magnetization ... 5.000 μB per formula unit
Symmetry ... Pm-3m, No. 221

---

La3TcSn: relaxed, PBE.

Unit cell a=7.194 b=6.937 c=6.876 alpha=75.89 beta=66.48 gamma=87.54
Fractional coordinates of all 10 atoms:
La: 0.196 0.499 0.135
La: 0.267 0.647 0.550
Sn: 0.437 0.087 0.219
La: 0.907 0.027 0.328
La: 0.717 0.449 0.725
La: 0.836 0.879 0.913
Tc: 0.096 0.190 0.568
Tc: 0.007 0.336 0.895
Sn: 0.666 0.439 0.245
La: 0.387 0.076 0.738

Values from the calculation:
Energy of formation ... -1.3 eV per formula unit
Crystal system ... triclinic
Energy above the most stable polymorph in this dataset ... 0.048 eV/atom
Spin magnetization ... 0.000 μB per formula unit
Symmetry ... P-1, No. 2

---

Mg7ScAg4: relaxed, PBE.

Unit cell a=5.146 b=8.154 c=7.024 alpha=75.86 beta=68.51 gamma=71.61
Fractional coordinates of all 12 atoms:
Ag: 0.564 0.226 0.647
Mg: 0.700 0.356 0.245
Mg: 0.300 0.644 0.755
Mg: 0.217 0.121 0.445
Mg: 0.783 0.879 0.555
Ag: 0.690 0.662 0.957
Ag: 0.436 0.774 0.353
Ag: 0.310 0.338 0.043
Sc: 0.000 0.000 0.000
Mg: 0.062 0.616 0.259
Mg: 0.938 0.384 0.741
Mg: 0.500 0.000 0.000

Values from the calculation:
Energy of formation ... 0.4 eV per formula unit
Crystal system ... monoclinic
Spin magnetization ... 0.420 μB per formula unit
Symmetry ... C2/m, No. 12

---

Repeat the sixth record exactly.
ScCrS2: relaxed, PBE.

Unit cell a=7.803 b=7.803 c=7.803 alpha=27.94 beta=27.94 gamma=27.94
Fractional coordinates of all 4 atoms:
S: 0.104 0.104 0.104
S: 0.896 0.896 0.896
Sc: 0.500 0.500 0.500
Cr: 0.000 0.000 0.000

Values from the calculation:
Crystal system ... trigonal
Energy above the most stable polymorph in this dataset ... 0.042 eV/atom
E_form (uncorrected) ... -0.9609 eV per atom
Spin magnetization ... 4.978 μB per formula unit
Symmetry ... R-3m, No. 166

---

Look up the spin magnetization of the sixth one.
4.978 μB per formula unit